1.
Al6ZnNi5 after structural relaxation, computed with PBE.

DFT total energy   -4.920 eV per atom

abc: 4.1487 5.8099 6.5642
angles: 90.00 108.36 90.00
Element x y z (fractional)
1 Ni 0.6645 0.0000 0.3294
2 Al 0.1724 0.2561 0.3448
3 Zn 0.0000 0.0000 0.0000
4 Ni 0.3370 0.5000 0.6737
5 Ni 0.6630 0.5000 0.3263
6 Al 0.1724 0.7439 0.3448
7 Ni 0.0000 0.5000 0.0000
8 Ni 0.3355 0.0000 0.6706
9 Al 0.5000 0.7386 0.0000
10 Al 0.8276 0.7439 0.6552
11 Al 0.8276 0.2561 0.6552
12 Al 0.5000 0.2614 0.0000

2.
SmHoMg4 after structural relaxation, computed with PBE.

DFT total energy   -2.689 eV per atom

abc: 6.0546 6.0546 6.0546
angles: 60.00 60.00 60.00
Element x y z (fractional)
1 Mg 0.1248 0.6251 0.6251
2 Sm 0.2500 0.2500 0.2500
3 Mg 0.6251 0.6251 0.6251
4 Mg 0.6251 0.1248 0.6251
5 Mg 0.6251 0.6251 0.1248
6 Ho 0.0000 0.0000 0.0000

3.
Na2CaV2 after structural relaxation, computed with PBE.

DFT total energy   -3.780 eV per atom

abc: 8.8663 8.8663 3.3182
angles: 90.00 90.00 90.00
Element x y z (fractional)
1 V 0.5728 0.0728 0.0000
2 Na 0.7084 0.7916 0.5000
3 V 0.0728 0.4272 0.0000
4 Na 0.7916 0.2916 0.5000
5 Ca 0.0000 0.0000 0.0000
6 Na 0.2916 0.2084 0.5000
7 V 0.9272 0.5728 0.0000
8 Ca 0.5000 0.5000 0.0000
9 Na 0.2084 0.7084 0.5000
10 V 0.4272 0.9272 0.0000

4.
AcTb15Er4 after structural relaxation, computed with PBE.

DFT total energy   -4.563 eV per atom

abc: 5.0474 5.0474 25.2550
angles: 90.00 90.00 90.00
Element x y z (fractional)
1 Tb 0.5000 0.5000 0.0000
2 Er 0.0000 0.0000 0.5988
3 Tb 0.5000 0.0000 0.3025
4 Er 0.0000 0.0000 0.7967
5 Tb 0.0000 0.5000 0.8945
6 Tb 0.5000 0.0000 0.5000
7 Tb 0.0000 0.5000 0.1055
8 Er 0.0000 0.0000 0.2033
9 Ac 0.0000 0.0000 0.0000
10 Tb 0.5000 0.5000 0.4012
11 Tb 0.5000 0.0000 0.1055
12 Tb 0.5000 0.0000 0.6975
13 Tb 0.5000 0.5000 0.2045
14 Er 0.0000 0.0000 0.4012
15 Tb 0.0000 0.5000 0.5000
16 Tb 0.5000 0.5000 0.7955
17 Tb 0.5000 0.5000 0.5988
18 Tb 0.0000 0.5000 0.6975
19 Tb 0.0000 0.5000 0.3025
20 Tb 0.5000 0.0000 0.8945

5.
TaBiSe2 after structural relaxation, computed with PBE.

Raw formation energy   -0.502 eV/atom

abc: 9.7389 9.7389 9.7389
angles: 20.55 20.55 20.55
Element x y z (fractional)
1 Bi 0.0000 0.0000 0.0000
2 Se 0.1078 0.1078 0.1078
3 Ta 0.5000 0.5000 0.5000
4 Se 0.8922 0.8922 0.8922

6.
RuNO2 after structural relaxation, computed with PBE.

Raw formation energy   1.181 eV/atom

abc: 6.1567 6.1567 6.1567
angles: 25.49 25.49 25.49
Element x y z (fractional)
1 N 0.5000 0.5000 0.5000
2 O 0.8936 0.8936 0.8936
3 Ru 0.0000 0.0000 0.0000
4 O 0.1064 0.1064 0.1064

7.
SrCuNi2 after structural relaxation, computed with PBE.

DFT total energy   -4.405 eV per atom

abc: 4.1219 4.1219 5.6617
angles: 68.80 68.80 59.98
Last column: magnetic moment on the atom in μB.
Element x y z (fractional)
1 Cu 0.3091 0.3091 0.0727  0.00
2 Sr 0.4985 0.4985 0.5047  -0.01
3 Ni 0.0058 0.0058 0.9824  0.19
4 Ni 0.6866 0.6866 0.9402  0.17

8.
Pr6As5F after structural relaxation, computed with PBE.

Raw formation energy   -1.667 eV/atom

abc: 7.3686 7.3726 7.3623
angles: 59.95 80.33 70.40
Element x y z (fractional)
1 As 0.0000 0.6665 0.6670
2 Pr 0.7443 0.7461 0.0000
3 Pr 0.2505 0.5799 0.3370
4 As 0.5000 0.5000 0.0000
5 Pr 0.7495 0.0831 0.3370
6 As 0.0000 0.3335 0.3330
7 Pr 0.2505 0.9169 0.6630
8 As 0.5000 0.8320 0.3360
9 As 0.5000 0.1680 0.6640
10 Pr 0.2557 0.2539 0.0000
11 Pr 0.7495 0.4201 0.6630
12 F 0.0000 0.0000 0.0000